Entry 1:
Compound: AcTbNd3Er
Source: Alexandria
Functional: GGA-PBE
Structure: optimized geometry

Output
- Symmetry: C2/m, No. 12

abc: 10.8135 10.8135 7.1128
angles: 91.30 91.30 31.53
Closest atoms and distances in Å follow each position.
Fractional positions:
Ac: 0.1476 0.1476 0.0316  1 Er 3.25, 4 Nd 3.39-3.60
Ac: 0.8524 0.8524 0.9684  1 Er 3.25, 4 Nd 3.39-3.60
Tb: 0.4421 0.4421 0.7042  3 Nd 3.33-3.36, 2 Er 3.67
Tb: 0.5579 0.5579 0.2958  3 Nd 3.33-3.36, 2 Er 3.67
Nd: 0.0163 0.0163 0.7401  1 Er 3.21, 2 Tb 3.33, 1 Ac 3.39, 1 Nd 3.47
Nd: 0.2810 0.2810 0.7228  3 Er 3.31-3.68, 1 Tb 3.36, 1 Nd 3.56, 1 Ac 3.58
Nd: 0.3408 0.3408 0.2584  2 Er 3.46, 1 Nd 3.56, 2 Ac 3.60, 1 Tb 3.77
Nd: 0.6592 0.6592 0.7416  2 Er 3.46, 1 Nd 3.56, 2 Ac 3.60, 1 Tb 3.77
Nd: 0.7190 0.7190 0.2772  3 Er 3.31-3.68, 1 Tb 3.36, 1 Nd 3.56, 1 Ac 3.58
Nd: 0.9837 0.9837 0.2599  1 Er 3.21, 2 Tb 3.33, 1 Ac 3.39, 1 Nd 3.47
Er: 0.1421 0.1421 0.4873  4 Nd 3.21-3.46, 1 Ac 3.25
Er: 0.8579 0.8579 0.5127  4 Nd 3.21-3.46, 1 Ac 3.25



Entry 2:
Compound: AcTb3NdEr
Source: Alexandria
Functional: GGA-PBE
Structure: optimized geometry

Output
- Symmetry: C2/m, No. 12

abc: 10.2793 10.2793 7.4755
angles: 90.86 90.86 32.35
Closest atoms and distances in Å follow each position.
Fractional positions:
Ac: 0.1425 0.1425 0.0233  1 Er 3.26, 4 Tb 3.30-3.64
Ac: 0.8575 0.8575 0.9767  1 Er 3.26, 4 Tb 3.30-3.64
Tb: 0.0220 0.0220 0.7122  2 Nd 3.20, 1 Er 3.23, 1 Tb 3.28, 1 Ac 3.30
Tb: 0.2814 0.2814 0.7504  3 Er 3.32-3.52, 1 Nd 3.33, 3 Ac 3.44-3.64, 3 Tb 3.65-3.66
Tb: 0.3337 0.3337 0.2842  3 Er 3.46-3.82, 3 Tb 3.65-3.66, 2 Ac 3.71
Tb: 0.6663 0.6663 0.7158  3 Er 3.46-3.82, 3 Tb 3.65-3.66, 2 Ac 3.71
Tb: 0.7186 0.7186 0.2496  3 Er 3.32-3.52, 1 Nd 3.33, 3 Ac 3.44-3.64, 3 Tb 3.65-3.66
Tb: 0.9780 0.9780 0.2878  2 Nd 3.20, 1 Er 3.23, 1 Tb 3.28, 1 Ac 3.30
Nd: 0.4492 0.4492 0.7124  3 Tb 3.20-3.33
Nd: 0.5508 0.5508 0.2876  3 Tb 3.20-3.33
Er: 0.1528 0.1528 0.4585  6 Tb 3.23-3.52, 1 Ac 3.26
Er: 0.8472 0.8472 0.5415  6 Tb 3.23-3.52, 1 Ac 3.26



Entry 3:
Compound: AcTbNd6Er2
Source: Alexandria
Functional: GGA-PBE
Structure: optimized geometry

Output
- Symmetry: C2/c, No. 15

abc: 9.0120 9.0120 9.9463
angles: 94.37 94.37 117.81
Closest atoms and distances in Å follow each position.
Fractional positions:
Ac: 0.1009 0.8991 0.7500  8 Nd 3.62-3.99, 2 Er 3.71
Ac: 0.8991 0.1009 0.2500  8 Nd 3.62-3.99, 2 Er 3.71
Tb: 0.4690 0.5310 0.2500  4 Er 3.44-3.49, 4 Nd 3.60-3.70
Tb: 0.5310 0.4690 0.7500  4 Er 3.44-3.49, 4 Nd 3.60-3.70
Nd: 0.0057 0.7923 0.3762  3 Nd 3.27-3.45, 3 Er 3.37-3.52, 1 Ac 3.62
Nd: 0.0729 0.5325 0.1742  2 Nd 3.27-3.51, 1 Er 3.54, 1 Tb 3.60, 1 Ac 3.62
Nd: 0.2077 0.9943 0.1238  3 Nd 3.27-3.45, 3 Er 3.37-3.52, 1 Ac 3.62
Nd: 0.2639 0.6105 0.5559  5 Nd 3.45-3.87, 1 Er 3.46, 2 Tb 3.70-3.87
Nd: 0.3895 0.7361 0.9441  5 Nd 3.45-3.87, 1 Er 3.46, 2 Tb 3.70-3.87
Nd: 0.4675 0.9271 0.3258  2 Nd 3.27-3.51, 1 Er 3.54, 1 Tb 3.60, 1 Ac 3.62
Nd: 0.5325 0.0729 0.6742  2 Nd 3.27-3.51, 1 Er 3.54, 1 Tb 3.60, 1 Ac 3.62
Nd: 0.6105 0.2639 0.0559  5 Nd 3.45-3.87, 1 Er 3.46, 2 Tb 3.70-3.87
Nd: 0.7361 0.3895 0.4441  5 Nd 3.45-3.87, 1 Er 3.46, 2 Tb 3.70-3.87
Nd: 0.7923 0.0057 0.8762  3 Nd 3.27-3.45, 3 Er 3.37-3.52, 1 Ac 3.62
Nd: 0.9271 0.4675 0.8258  2 Nd 3.27-3.51, 1 Er 3.54, 1 Tb 3.60, 1 Ac 3.62
Nd: 0.9943 0.2077 0.6238  3 Nd 3.27-3.45, 3 Er 3.37-3.52, 1 Ac 3.62
Er: 0.2089 0.3050 0.9555  6 Nd 3.37-3.68, 2 Tb 3.44-3.49, 1 Ac 3.71
Er: 0.3050 0.2089 0.4555  6 Nd 3.37-3.68, 2 Tb 3.44-3.49, 1 Ac 3.71
Er: 0.6950 0.7911 0.5445  6 Nd 3.37-3.68, 2 Tb 3.44-3.49, 1 Ac 3.71
Er: 0.7911 0.6950 0.0445  6 Nd 3.37-3.68, 2 Tb 3.44-3.49, 1 Ac 3.71



Entry 4:
Compound: AcTb4Nd2Er
Source: Alexandria
Functional: GGA-PBE
Structure: optimized geometry

Output
- Symmetry: Pmmm, No. 47

abc: 5.1439 5.1655 10.2449
angles: 90.00 90.00 90.00
Closest atoms and distances in Å follow each position.
Fractional positions:
Ac: 0.0000 0.0000 0.0000  4 Nd 3.64, 8 Tb 3.69-3.70
Tb: 0.0000 0.5000 0.2585  2 Er 3.57, 4 Nd 3.58-3.69, 4 Tb 3.64, 2 Ac 3.70
Tb: 0.0000 0.5000 0.7415  2 Er 3.57, 4 Nd 3.58-3.69, 4 Tb 3.64, 2 Ac 3.70
Tb: 0.5000 0.0000 0.2583  4 Nd 3.57-3.70, 2 Er 3.58, 4 Tb 3.64, 2 Ac 3.69
Tb: 0.5000 0.0000 0.7417  4 Nd 3.57-3.70, 2 Er 3.58, 4 Tb 3.64, 2 Ac 3.69
Nd: 0.0000 0.0000 0.5000  8 Tb 3.57-3.58, 4 Er 3.64
Nd: 0.5000 0.5000 0.0000  4 Ac 3.64, 8 Tb 3.69-3.70
Er: 0.5000 0.5000 0.5000  8 Tb 3.57-3.58, 4 Nd 3.64



| no. | ΔE_f (eV per atom) | volume (Å³ per cell) | DFT total energy (Ry/atom) |
| --- | --- | --- | --- |
| 1 | 0.213 | 434.8 | -0.32247 |
| 2 | 0.222 | 422.6 | -0.31845 |
| 3 | 0.120 | 706.7 | -0.33276 |
| 4 | 0.034 | 272.2 | -0.33496 |